Computed, not measured: crystalline BaLaZn2Rh at its relaxed geometry at the GGA-PBE level of DFT.

Values from the calculation:
Space group: P4/mmm (123)
DFT formation energy: -0.321 eV/atom

The structure in extended XYZ format:
```
5
Lattice="5.182 0.000 0.000 0.000 5.182 0.000 0.000 0.000 5.155" Properties=species:S:1:pos:R:3 pbc="T T T"
Ba 0.000 0.000 0.000
La 2.591 2.591 0.000
Zn 0.000 2.591 2.578
Zn 2.591 0.000 2.578
Rh 2.591 2.591 2.578
```

Computed, not measured: crystalline BaLaZrRh2 at its relaxed geometry at the GGA-PBE level of DFT.

Values from the calculation:
Space group: P4/mmm (123)
DFT formation energy: 1.148 eV/atom

The structure in extended XYZ format:
```
5
Lattice="5.120 0.000 0.000 0.000 5.120 0.000 0.000 0.000 5.360" Properties=species:S:1:pos:R:3 pbc="T T T"
Ba 0.000 0.000 0.000
La 2.560 2.560 2.680
Zr 0.000 0.000 2.680
Rh 0.000 2.560 0.000
Rh 2.560 0.000 0.000
```

Computed, not measured: crystalline BaLa2Ru2 at its relaxed geometry at the GGA-PBE level of DFT.

Values from the calculation:
Space group: P4/mbm (127)
Energy above the lowest structure with this stoichiometry: 0.0 meV per atom
DFT formation energy: 0.054 eV/atom

The structure in extended XYZ format:
```
10
Lattice="8.517 0.000 0.000 0.000 8.517 0.000 0.000 0.000 3.633" Properties=species:S:1:pos:R:3 pbc="T T T"
Ba 0.000 0.000 0.000
Ba 4.258 4.258 0.000
La 1.220 3.038 1.817
La 3.038 7.297 1.817
La 5.478 1.220 1.817
La 7.297 5.478 1.817
Ru 1.191 5.450 0.000
Ru 3.067 1.191 0.000
Ru 5.450 7.326 0.000
Ru 7.326 3.067 0.000
```

Computed, not measured: crystalline BaLaRu2 at its relaxed geometry at the GGA-PBE level of DFT.

Values from the calculation:
Space group: Imm2 (44)
DFT formation energy: 0.187 eV/atom

The structure in extended XYZ format:
```
4
Lattice="-2.134 2.274 6.640 2.134 -2.274 6.640 2.134 2.274 -6.640" Properties=species:S:1:pos:R:3 pbc="T T T"
Ba 0.000 0.000 0.000
La 2.134 0.000 3.358
Ru 0.000 0.000 8.234
Ru 0.000 2.274 2.607
```

Computed, not measured: crystalline BaLaRu2 at its relaxed geometry at the GGA-PBE level of DFT.

Values from the calculation:
Space group: I-4m2 (119)
DFT formation energy: 0.603 eV/atom

The structure in extended XYZ format:
```
4
Lattice="-2.096 2.096 5.273 2.096 -2.096 5.273 2.096 2.096 -5.273" Properties=species:S:1:pos:R:3 pbc="T T T"
Ba 0.000 0.000 0.000
La 2.096 0.000 2.636
Ru 0.000 0.000 5.273
Ru 0.000 2.096 2.636
```

Computed, not measured: crystalline BaLaRu4 at its relaxed geometry at the GGA-PBE level of DFT.

Values from the calculation:
Space group: F-43m (216)
DFT formation energy: 0.272 eV/atom

The structure in extended XYZ format:
```
6
Lattice="0.000 3.916 3.916 3.916 0.000 3.916 3.916 3.916 0.000" Properties=species:S:1:pos:R:3 pbc="T T T"
Ba 0.000 0.000 0.000
La 5.873 5.873 5.873
Ru 2.941 2.941 2.941
Ru 4.890 4.890 2.941
Ru 4.890 2.941 4.890
Ru 2.941 4.890 4.890
```